Computed, not measured: a relaxed structure of Y2Er6Tl at the PBE level of DFT.

abc: 10.5787 10.5787 4.8372
angles: 90.00 90.00 90.00
Last column: nearest neighbours and their distance in Å.
Positions (direct):
Y 0.1597 0.1597 0.0000  2 Tl 3.40, 10 Er 3.43-3.59
Y 0.3403 0.6597 0.5000  2 Tl 3.40, 10 Er 3.43-3.59
Y 0.6597 0.3403 0.5000  2 Tl 3.40, 10 Er 3.43-3.59
Y 0.8403 0.8403 0.0000  2 Tl 3.40, 10 Er 3.43-3.59
Er 0.0010 0.6628 0.5000  8 Er 3.43-3.56, 3 Y 3.50-3.59, 1 Tl 3.57
Er 0.1628 0.4990 0.0000  8 Er 3.43-3.56, 3 Y 3.50-3.59, 1 Tl 3.57
Er 0.1648 0.8352 0.0000  4 Y 3.43-3.57, 2 Tl 3.45, 6 Er 3.49-3.56
Er 0.3352 0.3352 0.5000  4 Y 3.43-3.57, 2 Tl 3.45, 6 Er 3.49-3.56
Er 0.3372 0.9990 0.5000  8 Er 3.43-3.56, 3 Y 3.50-3.59, 1 Tl 3.57
Er 0.4990 0.1628 0.0000  8 Er 3.43-3.56, 3 Y 3.50-3.59, 1 Tl 3.57
Er 0.5010 0.8372 0.0000  8 Er 3.43-3.56, 3 Y 3.50-3.59, 1 Tl 3.57
Er 0.6628 0.0010 0.5000  8 Er 3.43-3.56, 3 Y 3.50-3.59, 1 Tl 3.57
Er 0.6648 0.6648 0.5000  4 Y 3.43-3.57, 2 Tl 3.45, 6 Er 3.49-3.56
Er 0.8352 0.1648 0.0000  4 Y 3.43-3.57, 2 Tl 3.45, 6 Er 3.49-3.56
Er 0.8372 0.5010 0.0000  8 Er 3.43-3.56, 3 Y 3.50-3.59, 1 Tl 3.57
Er 0.9990 0.3372 0.5000  8 Er 3.43-3.56, 3 Y 3.50-3.59, 1 Tl 3.57
Tl 0.0000 0.0000 0.5000  4 Y 3.40, 8 Er 3.45-3.57
Tl 0.5000 0.5000 0.0000  4 Y 3.40, 8 Er 3.45-3.57

Computed properties:
Total moment = 0.0 μB/cell
Total energy = -86.04 eV for the cell shown
Formation enthalpy at 0 K = -0.039 eV per atom